[1]
A plane-wave DFT calculation with PBE was carried out for an optimized crystal structure of Nd2SiNi6Ge.

Unit cell a=6.067 b=6.075 c=6.252 alpha=61.30 beta=61.19 gamma=60.16
Space group P-1 (No. 2)
Asymmetric unit:
Nd  0.217  0.217  0.349 [2 per cell]
Si  0.000  0.000  0.000 [1 per cell]
Ni  0.245  0.649  0.859 [2 per cell]
Ni  0.246  0.245  0.856 [2 per cell]
Ni  0.349  0.754  0.143 [2 per cell]
Ge  0.500  0.500  0.500 [1 per cell]

Properties
The formation energy from raw total energies is -403 kJ/mol of formula units. As for the electronic total energy: -0.4295 Ry per atom. Its crystal system is triclinic. The theoretical density is 7.41 g/cm³.

[2]
A plane-wave DFT calculation with PBE was carried out for an optimized crystal structure of Nd2SiNi4Ge3.

Unit cell a=4.134 b=4.134 c=9.683 alpha=90.00 beta=90.00 gamma=90.00
Space group P-4m2 (No. 115)
Asymmetric unit:
Nd  0.000  0.500  0.249 [2 per cell]
Si  0.500  0.500  0.000 [1 per cell]
Ni  0.000  0.000  0.500 [1 per cell]
Ni  0.000  0.500  0.880 [2 per cell]
Ni  0.500  0.500  0.500 [1 per cell]
Ge  0.000  0.000  0.000 [1 per cell]
Ge  0.000  0.500  0.629 [2 per cell]

Properties
The formation energy from raw total energies is -692 kJ/mol of formula units. As for the electronic total energy: -0.4344 Ry per atom. Its crystal system is tetragonal. The theoretical density is 7.72 g/cm³.

[3]
A plane-wave DFT calculation with PBE was carried out for an optimized crystal structure of Nd3Si2Ni9Ge.

Unit cell a=5.9703 b=5.9703 c=8.2462 alpha=90.00 beta=90.00 gamma=120.00
Space group P-3m1 (No. 164)
Asymmetric unit:
Nd  0.0000  0.0000  0.0000 [1 per cell]
Nd  0.3333  0.6667  0.6567 [2 per cell]
Si  0.3333  0.6667  0.1800 [2 per cell]
Ni  0.0000  0.5000  0.0000 [3 per cell]
Ni  0.1407  0.2814  0.2821 [6 per cell]
Ge  0.0000  0.0000  0.5000 [1 per cell]

Properties
The formation energy from raw total energies is -438 kJ/mol of formula units. As for the electronic total energy: -0.4231 Ry per atom. Its crystal system is trigonal. The theoretical density is 7.11 g/cm³.

[4]
A plane-wave DFT calculation with PBE was carried out for an optimized crystal structure of Nd2Si3Ni4Ge.

Unit cell a=4.084 b=4.084 c=9.588 alpha=90.00 beta=90.00 gamma=90.00
Space group P-4m2 (No. 115)
Asymmetric unit:
Nd  0.000  0.500  0.248 [2 per cell]
Si  0.000  0.500  0.876 [2 per cell]
Si  0.500  0.500  0.500 [1 per cell]
Ni  0.000  0.000  0.000 [1 per cell]
Ni  0.000  0.500  0.628 [2 per cell]
Ni  0.500  0.500  0.000 [1 per cell]
Ge  0.000  0.000  0.500 [1 per cell]

Properties
The formation energy from raw total energies is -739 kJ/mol of formula units. As for the electronic total energy: -0.4499 Ry per atom. Its crystal system is tetragonal. The theoretical density is 7.06 g/cm³.

[5]
A plane-wave DFT calculation with PBE was carried out for an optimized crystal structure of NdSm2Ni2Ge2.

Unit cell a=4.2740 b=4.2740 c=29.5671 alpha=90.00 beta=90.00 gamma=120.00
Space group R-3m (No. 166, hexagonal axes)
Asymmetric unit:
Nd  0.0000  0.0000  0.0000 [3 per cell]
Sm  0.0000  0.0000  0.1223 [6 per cell]
Ni  0.0000  0.0000  0.3985 [6 per cell]
Ge  0.0000  0.0000  0.2648 [6 per cell]

Properties
As for the electronic total energy: -0.4118 Ry per atom. Its crystal system is trigonal. The theoretical density is 7.54 g/cm³. As for the formation energy: -0.60 eV per atom.

[6]
A plane-wave DFT calculation with PBE was carried out for an optimized crystal structure of TbNdNi2Ge2.

Unit cell a=4.1402 b=4.1402 c=7.9383 alpha=90.00 beta=90.00 gamma=120.00
Space group P-3m1 (No. 164)
Asymmetric unit:
Tb  0.0000  0.0000  0.0000 [1 per cell]
Nd  0.0000  0.0000  0.5000 [1 per cell]
Ni  0.3333  0.6667  0.2341 [2 per cell]
Ge  0.3333  0.6667  0.7572 [2 per cell]

Properties
As for the electronic total energy: -0.4234 Ry per atom. Its crystal system is trigonal. The theoretical density is 7.97 g/cm³. As for the formation energy: -0.73 eV per atom.

[7]
A plane-wave DFT calculation with PBE was carried out for an optimized crystal structure of TbNdNiGe.

Unit cell a=7.115 b=7.115 c=7.115 alpha=90.00 beta=90.00 gamma=90.00
Space group F-43m (No. 216)
Asymmetric unit:
Tb  0.000  0.000  0.000 [4 per cell]
Nd  0.000  0.000  0.500 [4 per cell]
Ni  0.250  0.250  0.250 [4 per cell]
Ge  0.250  0.250  0.750 [4 per cell]

Properties
As for the electronic total energy: -0.3987 Ry per atom. Its crystal system is cubic. The theoretical density is 8.01 g/cm³. As for the formation energy: -0.48 eV per atom.

[8]
A plane-wave DFT calculation with PBE was carried out for an optimized crystal structure of Nd2TcNiGe6.

Unit cell a=6.454 b=8.834 c=7.129 alpha=90.00 beta=90.00 gamma=90.00
Space group Pmmn (No. 59, origin choice 2)
Asymmetric unit:
Nd  0.250  0.015  0.250 [4 per cell]
Tc  0.250  0.750  0.601 [2 per cell]
Ni  0.250  0.250  0.880 [2 per cell]
Ge  0.056  0.750  0.942 [4 per cell]
Ge  0.057  0.250  0.580 [4 per cell]
Ge  0.250  0.506  0.780 [4 per cell]

Properties
As for the electronic total energy: -0.4182 Ry per atom. Its crystal system is orthorhombic. The theoretical density is 7.20 g/cm³. As for the formation energy: -0.35 eV per atom.

[9]
A plane-wave DFT calculation with PBE was carried out for an optimized crystal structure of NdTmNi2Ge2.

Unit cell a=4.2544 b=4.2544 c=7.1867 alpha=90.00 beta=90.00 gamma=120.00
Space group P-3m1 (No. 164)
Asymmetric unit:
Nd  0.0000  0.0000  0.0000 [1 per cell]
Tm  0.0000  0.0000  0.5000 [1 per cell]
Ni  0.3333  0.6667  0.7041 [2 per cell]
Ge  0.3333  0.6667  0.2747 [2 per cell]

Properties
As for the electronic total energy: -0.4232 Ry per atom. Its crystal system is trigonal. The theoretical density is 8.49 g/cm³. As for the formation energy: -0.75 eV per atom.

[10]
A plane-wave DFT calculation with PBE was carried out for an optimized crystal structure of Nd2Zn2Ni5Ge.

Unit cell a=9.632 b=9.632 c=3.430 alpha=90.00 beta=90.00 gamma=90.00
Space group P4/mbm (No. 127)
Asymmetric unit:
Nd  0.179  0.321  0.000 [4 per cell]
Zn  0.120  0.620  0.000 [4 per cell]
Ni  0.000  0.500  0.500 [2 per cell]
Ni  0.052  0.804  0.500 [8 per cell]
Ge  0.000  0.000  0.000 [2 per cell]

Properties
As for the electronic total energy: -0.3506 Ry per atom. Its crystal system is tetragonal. The theoretical density is 8.20 g/cm³. As for the formation energy: -0.21 eV per atom.

[11]
A plane-wave DFT calculation with PBE was carried out for an optimized crystal structure of NdZnNi5Ge2.

Unit cell a=4.364 b=4.364 c=7.363 alpha=90.00 beta=90.00 gamma=90.00
Space group P4/mmm (No. 123)
Asymmetric unit:
Nd  0.000  0.000  0.000 [1 per cell]
Zn  0.000  0.000  0.500 [1 per cell]
Ni  0.000  0.500  0.241 [4 per cell]
Ni  0.500  0.500  0.000 [1 per cell]
Ge  0.500  0.500  0.335 [2 per cell]

Properties
As for the electronic total energy: -0.3649 Ry per atom. Its crystal system is tetragonal. The theoretical density is 7.68 g/cm³. As for the formation energy: -0.05 eV per atom.

[12]
A plane-wave DFT calculation with PBE was carried out for an optimized crystal structure of NdZnNi4Ge2.

Unit cell a=4.0541 b=4.0541 c=25.3804 alpha=90.00 beta=90.00 gamma=120.00
Space group R-3m (No. 166, hexagonal axes)
Asymmetric unit:
Nd  0.0000  0.0000  0.0000 [3 per cell]
Zn  0.0000  0.0000  0.5000 [3 per cell]
Ni  0.0000  0.0000  0.1338 [6 per cell]
Ni  0.0000  0.0000  0.4075 [6 per cell]
Ge  0.0000  0.0000  0.2419 [6 per cell]

Properties
As for the electronic total energy: -0.3811 Ry per atom. Its crystal system is trigonal. The theoretical density is 8.13 g/cm³. As for the formation energy: -0.39 eV per atom.

[13]
A plane-wave DFT calculation with PBE was carried out for an optimized crystal structure of Nd2ZnNi3Ge4.

Unit cell a=4.186 b=4.186 c=9.911 alpha=90.00 beta=90.00 gamma=90.00
Space group P-4m2 (No. 115)
Asymmetric unit:
Nd  0.000  0.500  0.245 [2 per cell]
Zn  0.000  0.000  0.500 [1 per cell]
Ni  0.000  0.500  0.882 [2 per cell]
Ni  0.500  0.500  0.500 [1 per cell]
Ge  0.000  0.000  0.000 [1 per cell]
Ge  0.000  0.500  0.642 [2 per cell]
Ge  0.500  0.500  0.000 [1 per cell]

Properties
As for the electronic total energy: -0.3907 Ry per atom. Its crystal system is tetragonal. The theoretical density is 7.84 g/cm³. As for the formation energy: -0.65 eV per atom.

[14]
A plane-wave DFT calculation with PBE was carried out for an optimized crystal structure of NdNpGe2.

Unit cell a=4.1703 b=4.1703 c=21.0371 alpha=90.00 beta=90.00 gamma=120.00
Space group R-3m (No. 166, hexagonal axes)
Asymmetric unit:
Nd  0.0000  0.0000  0.0000 [3 per cell]
Np  0.0000  0.0000  0.5000 [3 per cell]
Ge  0.0000  0.0000  0.2439 [6 per cell]

Properties
As for the electronic total energy: -0.5151 Ry per atom. Its crystal system is trigonal. As for the polymorph energy (0 for the lowest one): 0.083 eV per atom. The theoretical density is 8.28 g/cm³. As for the formation energy: -0.27 eV per atom.

[15]
A plane-wave DFT calculation with PBE was carried out for an optimized crystal structure of Nd2NpGe.

Unit cell a=3.4830 b=3.4830 c=33.5651 alpha=90.00 beta=90.00 gamma=120.00
Space group R-3m (No. 166, hexagonal axes)
Asymmetric unit:
Nd  0.0000  0.0000  0.0987 [6 per cell]
Np  0.0000  0.0000  0.0000 [3 per cell]
Ge  0.0000  0.0000  0.5000 [3 per cell]

Properties
As for the electronic total energy: -0.4747 Ry per atom. Its crystal system is trigonal. The theoretical density is 8.45 g/cm³. As for the formation energy: 0.32 eV per atom.

[16]
A plane-wave DFT calculation with PBE was carried out for an optimized crystal structure of NdNpGe2.

Unit cell a=3.330 b=3.330 c=8.267 alpha=90.00 beta=90.00 gamma=90.00
Space group P4/mmm (No. 123)
Asymmetric unit:
Nd  0.000  0.000  0.000 [1 per cell]
Np  0.000  0.000  0.500 [1 per cell]
Ge  0.500  0.500  0.259 [2 per cell]

Properties
As for the electronic total energy: -0.5212 Ry per atom. Its crystal system is tetragonal. As for the polymorph energy (0 for the lowest one): 0.000 eV per atom. The theoretical density is 9.54 g/cm³. As for the formation energy: -0.36 eV per atom.

[17]
A plane-wave DFT calculation with PBE was carried out for an optimized crystal structure of NdNpGe.

Unit cell a=4.169 b=4.169 c=8.654 alpha=90.00 beta=90.00 gamma=90.00
Space group P4/nmm (No. 129, origin choice 2)
Asymmetric unit:
Nd  0.250  0.250  0.141 [2 per cell]
Np  0.250  0.750  0.500 [2 per cell]
Ge  0.250  0.250  0.763 [2 per cell]

Properties
As for the electronic total energy: -0.5738 Ry per atom. Its crystal system is tetragonal. The theoretical density is 10.02 g/cm³. As for the formation energy: -0.37 eV per atom.

[18]
A plane-wave DFT calculation with PBE was carried out for an optimized crystal structure of Nd2NpGe3Pt4.

Unit cell a=4.344 b=4.344 c=11.071 alpha=90.00 beta=90.00 gamma=90.00
Space group P-4m2 (No. 115)
Asymmetric unit:
Nd  0.000  0.500  0.224 [2 per cell]
Np  0.000  0.000  0.500 [1 per cell]
Ge  0.000  0.500  0.879 [2 per cell]
Ge  0.500  0.500  0.500 [1 per cell]
Pt  0.000  0.000  0.000 [1 per cell]
Pt  0.000  0.500  0.657 [2 per cell]
Pt  0.500  0.500  0.000 [1 per cell]

Properties
As for the electronic total energy: -0.5039 Ry per atom. Its crystal system is tetragonal. The theoretical density is 12.11 g/cm³. As for the formation energy: -0.81 eV per atom.

[19]
A plane-wave DFT calculation with PBE was carried out for an optimized crystal structure of Nd3Ge2O.

Unit cell a=10.219 b=8.460 c=6.651 alpha=90.00 beta=90.00 gamma=90.00
Space group Cmcm (No. 63)
Asymmetric unit:
Nd  0.000  0.147  0.250 [4 per cell]
Nd  0.171  0.500  0.000 [8 per cell]
Ge  0.130  0.188  0.750 [8 per cell]
O  0.000  0.421  0.250 [4 per cell]

Properties
The formation energy from raw total energies is -781 kJ/mol of formula units. As for the electronic total energy: -0.4483 Ry per atom. Its crystal system is orthorhombic. As for the polymorph energy (0 for the lowest one): 0.081 eV per atom. The theoretical density is 6.86 g/cm³.

[20]
A plane-wave DFT calculation with PBE was carried out for an optimized crystal structure of Nd3Ge2O.

Unit cell a=8.785 b=4.111 c=17.078 alpha=90.00 beta=90.00 gamma=90.00
Space group Pnma (No. 62)
Asymmetric unit:
Nd  0.004  0.250  0.106 [4 per cell]
Nd  0.138  0.250  0.575 [4 per cell]
Nd  0.171  0.750  0.270 [4 per cell]
Ge  0.086  0.750  0.717 [4 per cell]
Ge  0.246  0.750  0.458 [4 per cell]
O  0.123  0.750  0.134 [4 per cell]

Properties
The formation energy from raw total energies is -828 kJ/mol of formula units. As for the electronic total energy: -0.4542 Ry per atom. Its crystal system is orthorhombic. As for the polymorph energy (0 for the lowest one): 0.000 eV per atom. The theoretical density is 6.40 g/cm³.

[21]
A plane-wave DFT calculation with PBE was carried out for an optimized crystal structure of NdGe2O6.

Unit cell a=11.273 b=9.943 c=5.770 alpha=90.00 beta=104.73 gamma=90.00
Space group C2/c (No. 15)
Asymmetric unit:
Nd  0.000  0.125  0.250 [4 per cell]
Ge  0.224  0.432  0.301 [8 per cell]
O  0.116  0.044  0.622 [8 per cell]
O  0.153  0.479  0.000 [8 per cell]
O  0.182  0.260  0.311 [8 per cell]

Properties
The formation energy from raw total energies is -1674 kJ/mol of formula units. As for the electronic total energy: -0.4990 Ry per atom. Its crystal system is monoclinic. The theoretical density is 4.09 g/cm³.

[22]
A plane-wave DFT calculation with PBE was carried out for an optimized crystal structure of Nd3GeO.

Unit cell a=4.889 b=4.889 c=4.889 alpha=90.00 beta=90.00 gamma=90.00
Space group Pm-3m (No. 221)
Asymmetric unit:
Nd  0.000  0.000  0.500 [3 per cell]
Ge  0.500  0.500  0.500 [1 per cell]
O  0.000  0.000  0.000 [1 per cell]

Properties
The formation energy from raw total energies is -659 kJ/mol of formula units. As for the electronic total energy: -0.4514 Ry per atom. Its crystal system is cubic. As for the polymorph energy (0 for the lowest one): 0.015 eV per atom. The theoretical density is 7.41 g/cm³.